LaPr4Dy2 (PBE, relaxed); calculated formation energy = 0.06 eV/atom; V = 35.223 A^3/atom; offset from the most stable computed form = 0 meV/atom
1.0
-10.894 -0.400 -6.596
9.717 -5.983 5.669
-2.572 2.998 5.687
Pr Dy La
8 4 2
direct
0.722 0.186 0.877
0.186 0.722 0.377
0.183 0.790 0.903
0.790 0.183 0.403
0.031 0.136 0.597
0.558 0.595 0.122
0.595 0.558 0.622
0.136 0.031 0.097
0.622 0.305 0.448
0.925 0.108 0.053
0.108 0.925 0.553
0.305 0.622 0.948
0.425 0.674 0.501
0.674 0.425 0.001

***

La8Ga2Si (PBE, relaxed); V = 30.465 A^3/atom; formation energy (no corrections) = -337 meV/atom
1.0
-1.768 -3.486 3.389
4.545 -4.887 -2.655
5.260 6.376 5.353
La Ga Si
8 2 1
direct
0.410 0.542 0.820
0.658 0.970 0.316
0.791 0.689 0.582
0.993 0.229 0.986
0.209 0.311 0.418
0.342 0.030 0.684
0.590 0.458 0.180
0.007 0.771 0.014
0.827 0.280 0.653
0.173 0.720 0.347
0.500 0.000 0.000

***

Ni2PBr2 (PBE, relaxed); V = 20.305 A^3/atom; formation energy (no corrections) = 637 meV/atom
1.0
-6.536 3.687 4.081
-6.400 5.635 -0.506
4.946 -6.462 -2.598
Ni P Br
2 1 2
direct
0.250 0.750 0.500
0.750 0.250 0.500
0.000 0.000 0.000
0.645 0.645 0.000
0.355 0.355 0.000